The following is a DFT calculation (GGA-PBEsol) of MgInS2Cl after structural relaxation.

Calculated values
symmetry = No. 123
formation energy (no corrections) = -0.28 eV/atom
calculated total energy = -3.380 eV/atom

a b c (Å): 4.9827 4.9827 4.9170
angles (deg): 90.00 90.00 90.00
Closest atoms and distances in Å follow each position.
Sites, in units of the cell vectors:
Mg  0.0000  0.0000  0.0000  8 S 3.50, 4 Cl 3.52
In  0.5000  0.5000  0.5000  2 Cl 2.46, 4 S 2.49
S  0.0000  0.5000  0.5000  2 In 2.49
S  0.5000  0.0000  0.5000  2 In 2.49
Cl  0.5000  0.5000  0.0000  2 In 2.46